No. 1
DFT (PBE) results for crystalline Ba2MnIn at its relaxed geometry.

The calculation puts the polymorph energy (0 for the lowest one) at 0 meV per atom. The calculation puts the energy relative to the elements at 85 meV/atom.

Cell lengths 4.9388, 5.2740, 12.2376 Å; angles 90.00, 90.00, 90.00 degrees
With the nearest neighbours (Å) after each atom.
Space group Amm2 (No. 38)
Unique sites:
Ba  0.0000  0.0000  0.0000 x2  3 In 3.60-3.67, 4 Mn 3.82
Ba  0.5000  0.0000  0.2917 x2  3 Mn 3.52-3.78, 4 In 3.78
Mn  0.5000  0.0000  0.6006 x2  2 In 2.75
In  0.0000  0.0000  0.6997 x2  2 Mn 2.75

No. 2
DFT (PBE) results for crystalline La2TbYHo5 at its relaxed geometry.

The calculation puts the energy relative to the elements at 143 meV/atom.

Cell lengths 5.6521, 19.9057, 10.7183 Å; angles 90.00, 90.00, 90.00 degrees
With the nearest neighbours (Å) after each atom.
Space group Cmc2_1 (No. 36)
Unique sites:
La  0.0000  0.1129  0.0000 x4  7 Ho 3.40-3.73, 1 Tb 3.46, 2 Y 3.77
La  0.0000  0.1149  0.5859 x4  8 Ho 3.31-3.57
Tb  0.0000  0.2010  0.2787 x4  2 La 3.46-3.71, 8 Ho 3.52-3.80, 2 Y 3.67
Y  0.0000  0.4133  0.7273 x4  5 Ho 3.10-3.27
Ho  0.0000  0.0161  0.2923 x4  2 Y 3.23, 2 La 3.40-3.42
Ho  0.0000  0.2809  0.5740 x4  1 Y 3.10, 1 La 3.31, 2 Ho 3.42
Ho  0.0000  0.3000  0.9751 x4  4 Ho 3.42-3.80, 1 Y 3.48, 3 La 3.50-3.73, 3 Tb 3.52-3.80
Ho  0.0000  0.3891  0.2888 x4  6 Ho 3.50-3.80, 4 La 3.57-3.62, 1 Tb 3.75
Ho  0.0000  0.4799  0.0061 x4  2 Y 3.18-3.27, 2 Ho 3.50-3.53, 2 La 3.50

| no. | calculated density (g/cm³) | VASP energy (eV for the cell shown) |
| --- | --- | --- |
| 1 | 4.6 | -30.8 |
| 2 | 7.4 | -170.2 |